A | A relaxed structure of La2TeS2, computed with PBE.

## Properties
Mass density: 4.3 g/cm³
Space-group type: Immm, No. 71
Spin magnetization: 0.000 μB per atom

```
5
Lattice="4.3365 0.0000 -1.2486 -0.5197 5.1847 -1.8050 -0.0171 -0.1159 8.0957" Properties=species:S:1:pos:R:3 pbc="T T T"
La 2.7808 0.8020 1.5032
La 1.0189 4.2668 3.5391
Te 0.0000 0.0000 0.0000
S 1.0735 1.4057 3.7287
S 2.7262 3.6631 1.3136
```

=====

B | A relaxed structure of La2TeS2, computed with PBE.

## Properties
Mass density: 5.1 g/cm³
Space-group type: I4/mmm, No. 139
Spin magnetization: 0.000 μB per atom

```
5
Lattice="-4.3208 0.1655 1.6101 1.1589 -2.8878 3.4069 0.1802 4.2417 6.6586" Properties=species:S:1:pos:R:3 pbc="T T T"
S -2.8608 1.5231 5.3886
S -0.1209 -0.0036 6.2870
Te 0.0000 0.0000 0.0000
La -1.0812 0.2288 3.6862
La -1.9005 1.2907 7.9894
```

=====

Most stable structure: A

=====

A | A relaxed structure of La2TeS2, computed with PBE.

## Properties
Mass density: 5.8 g/cm³
Space-group type: P4/mbm, No. 127
Spin magnetization: 0.000 μB per atom

```
10
Lattice="-8.1749 1.2033 1.2543 -0.9147 -8.1066 1.8157 0.6757 0.7491 3.6851" Properties=species:S:1:pos:R:3 pbc="T T T"
S -1.3437 -4.6085 3.1639
S -5.6421 -5.8765 4.2098
S -7.0701 -1.5457 3.5912
S -2.7718 -0.2777 2.5453
Te 0.0000 0.0000 0.0000
Te -4.5448 -3.4516 1.5350
La -3.5405 -6.3949 1.9492
La -7.4648 -4.3470 2.2524
La -5.5490 -0.5084 1.1208
La -1.6247 -2.5563 0.8176
```

=====

B | A relaxed structure of La2TeS2, computed with PBE.

## Properties
Mass density: 4.8 g/cm³
Space-group type: C2/c, No. 15
Spin magnetization: 0.000 μB per atom

```
10
Lattice="-3.6294 -2.7745 -5.8565 5.4488 -5.0420 0.2417 -4.1669 0.5438 6.4053" Properties=species:S:1:pos:R:3 pbc="T T T"
La 0.6436 -3.9660 -0.6850
La -3.1736 -3.0126 -3.2492
La 0.8261 -4.2601 4.0398
La -2.9911 -3.3067 1.4756
Te 3.2723 -4.6226 1.0808
Te -5.6198 -2.6501 -0.2902
S -2.1759 -4.4360 -0.9612
S -4.5194 -1.9993 3.4334
S 2.1719 -5.2734 -2.6428
S -0.1716 -2.8367 1.7518
```

=====

Most stable structure: B

=====

A | A relaxed structure of LaTi3S, computed with PBE.

## Properties
Mass density: 5.0 g/cm³
Space-group type: Pm-3m, No. 221
Spin magnetization: 0.000 μB per atom

```
5
Lattice="-3.7441 2.0674 -1.9439 -2.8356 -2.5990 2.6974 0.1116 3.3230 3.3191" Properties=species:S:1:pos:R:3 pbc="T T T"
S 0.0000 0.0000 0.0000
Ti -1.4178 -1.2995 1.3487
Ti 0.0558 1.6615 1.6596
Ti -1.8721 1.0337 -0.9720
La -3.2341 1.3957 2.0363
```

=====

B | A relaxed structure of LaTi3S, computed with PBE.

## Properties
Mass density: 4.8 g/cm³
Space-group type: Pm-3m, No. 221
Spin magnetization: 0.000 μB per atom

```
5
Lattice="-4.2538 -0.2245 -2.1818 0.2362 -4.7800 0.0315 -2.1805 -0.0797 4.2596" Properties=species:S:1:pos:R:3 pbc="T T T"
S -3.0991 -2.5421 1.0546
Ti 0.1181 -2.3900 0.0157
Ti -1.0903 -0.0398 2.1298
Ti -2.1269 -0.1123 -1.0909
La 0.0000 0.0000 0.0000
```

=====

Most stable structure: A

=====

A | A relaxed structure of LaTmS3, computed with PBE.

## Properties
Mass density: 5.7 g/cm³
Space-group type: Pnma, No. 62
Spin magnetization: 0.000 μB per atom

```
60
Lattice="3.9992 0.0000 0.0000 0.0000 16.4699 0.0000 0.0000 0.0000 21.4555" Properties=species:S:1:pos:R:3 pbc="T T T"
La 2.9994 13.2798 1.6996
La 0.9998 2.6090 5.2850
La 0.9998 10.8439 5.4427
La 2.9994 2.8064 12.5999
La 2.9994 5.6260 16.0128
La 0.9998 11.4250 12.4273
La 2.9994 13.8609 16.1705
La 0.9998 3.1901 19.7559
La 0.9998 5.4286 1.8722
La 2.9994 5.0449 9.0282
La 0.9998 13.6635 8.8556
La 2.9994 11.0413 19.5833
Tm 0.9998 1.5669 16.0824
Tm 0.9998 9.3171 1.7028
Tm 2.9994 0.9387 1.4771
Tm 0.9998 9.8018 16.1009
Tm 2.9994 9.1737 9.2507
Tm 2.9994 15.3877 12.4305
Tm 2.9994 14.9030 5.3731
Tm 2.9994 7.1528 19.7527
Tm 0.9998 1.0822 9.0250
Tm 0.9998 15.5312 19.9784
Tm 0.9998 7.2962 12.2048
Tm 2.9994 6.6681 5.3546
S 2.9994 12.6696 6.8937
S 2.9994 9.0775 6.5892
S 2.9994 13.0356 11.1015
S 0.9998 7.3924 14.8663
S 2.9994 11.1336 14.6917
S 0.9998 2.6135 1.3270
S 2.9994 15.7648 9.6073
S 2.9994 10.6332 3.1808
S 0.9998 0.7051 11.8482
S 0.9998 15.6273 17.3169
S 0.9998 3.4343 10.3540
S 0.9998 14.0716 13.9086
S 0.9998 7.2657 9.4835
S 0.9998 15.5007 1.2442
S 2.9994 5.6214 12.0548
S 2.9994 0.5983 14.6380
S 2.9994 0.9692 20.2113
S 2.9994 8.8332 17.5452
S 2.9994 13.8564 20.1285
S 0.9998 15.8716 6.8175
S 2.9994 4.4347 3.8340
S 2.9994 0.8426 4.1386
S 0.9998 3.8003 14.5618
S 0.9998 7.6367 3.9103
S 0.9998 8.9401 20.3351
S 0.9998 5.8367 18.2747
S 0.9998 13.5713 3.9639
S 0.9998 5.3363 6.7638
S 0.9998 11.6693 0.3738
S 2.9994 2.3983 7.5469
S 0.9998 10.8485 9.4007
S 0.9998 12.0352 17.6215
S 2.9994 4.8006 21.0817
S 2.9994 9.2042 11.9720
S 2.9994 2.8986 17.4916
S 2.9994 7.5298 1.1204
```

=====

B | A relaxed structure of LaTmS3, computed with PBE.

## Properties
Mass density: 5.8 g/cm³
Space-group type: Pnma, No. 62
Spin magnetization: 0.000 μB per atom

```
20
Lattice="4.0323 0.0000 0.0000 0.0000 7.4652 0.0000 0.0000 0.0000 15.3113" Properties=species:S:1:pos:R:3 pbc="T T T"
La 3.0242 6.4065 12.2643
La 1.0081 1.0587 3.0469
La 3.0242 2.6739 10.7026
La 1.0081 4.7913 4.6087
Tm 1.0081 2.0439 14.6453
Tm 1.0081 5.7765 8.3216
Tm 3.0242 1.6887 6.9897
Tm 3.0242 5.4212 0.6659
S 1.0081 2.7723 8.5462
S 3.0242 6.3247 3.2707
S 3.0242 3.6378 13.7361
S 3.0242 7.3704 9.2308
S 3.0242 4.6929 6.7651
S 1.0081 0.0948 6.0804
S 1.0081 6.5049 14.4207
S 3.0242 2.5921 4.3849
S 1.0081 4.8731 10.9263
S 1.0081 1.1405 12.0406
S 3.0242 0.9603 0.8905
S 1.0081 3.8274 1.5752
```

=====

C | A relaxed structure of LaTmS3, computed with PBE.

## Properties
Mass density: 5.4 g/cm³
Space-group type: C2/m, No. 12
Spin magnetization: 0.000 μB per atom

```
10
Lattice="3.9676 0.0000 0.0000 -1.9838 7.2868 0.3796 0.0000 -0.1562 8.6276" Properties=species:S:1:pos:R:3 pbc="T T T"
La 1.9838 1.6070 3.6256
La 0.0000 5.5234 5.3815
Tm 1.9838 4.7485 1.4240
Tm 0.0000 2.3819 7.5831
S 1.9838 6.6889 3.2435
S 0.0000 0.4415 5.7636
S 0.0000 5.0458 8.3654
S 1.9838 2.0846 0.6417
S 0.0000 3.6759 3.0765
S 1.9838 3.4545 5.9306
```

=====

Most stable structure: A

=====

A | A relaxed structure of LaTmS2, computed with PBE.

## Properties
Mass density: 6.8 g/cm³
Space-group type: R-3m, No. 166
Spin magnetization: 0.000 μB per atom

```
4
Lattice="7.1003 -0.0097 -0.0059 6.0137 3.7748 -0.0059 6.0137 1.7266 3.3568" Properties=species:S:1:pos:R:3 pbc="T T T"
S 4.6117 1.3241 0.8065
S 14.5161 4.1677 2.5385
Tm 9.5639 2.7459 1.6725
La 0.0000 0.0000 0.0000
```

=====

B | A relaxed structure of LaTmS2, computed with PBE.

## Properties
Mass density: 6.7 g/cm³
Space-group type: R3m, No. 160
Spin magnetization: 0.000 μB per atom

```
4
Lattice="-1.0179 1.9368 3.2443 0.6144 -1.6095 3.5135 6.1628 3.0256 2.4874" Properties=species:S:1:pos:R:3 pbc="T T T"
La 2.9777 1.7218 4.6263
Tm 5.7962 3.1985 6.9890
S 4.7626 2.3771 2.4352
S 1.2653 0.7574 2.3048
```

=====

Most stable structure: A

=====

A | A relaxed structure of LaUS3, computed with PBE.

## Properties
Mass density: 6.7 g/cm³
Space-group type: Pnma, No. 62
Spin magnetization: 0.558 μB per atom

```
20
Lattice="-0.8796 -3.8561 -0.8039 4.9790 0.0190 -5.5393 11.0456 -4.5859 9.9128" Properties=species:S:1:pos:R:3 pbc="T T T"
La 12.5115 -6.5306 2.4395
La 2.6336 -1.8924 1.1302
La 8.9826 -6.1085 4.2763
La 6.1626 -2.3144 -0.7066
U 11.7028 -5.3617 7.8493
U 9.5519 -3.4256 0.9152
U 5.5933 -4.9974 2.6545
U 3.4423 -3.0612 -4.2797
S 7.8596 -3.5401 3.3158
S 5.8872 -3.8639 -3.1043
S 11.7141 -7.0091 5.6073
S 10.8948 -5.6258 -0.1318
S 7.2855 -4.8829 0.2538
S 4.2503 -2.7972 3.7014
S 14.4741 -5.2431 4.2481
S 4.1621 -4.1908 0.3513
S 10.9830 -4.2322 3.2183
S 9.2579 -4.5590 6.6739
S 0.6710 -3.1798 -0.6785
S 3.4311 -1.4139 -2.0376
```

=====

B | A relaxed structure of LaUS3, computed with PBE.

## Properties
Mass density: 5.8 g/cm³
Space-group type: Cmmm, No. 65
Spin magnetization: 0.604 μB per atom

```
10
Lattice="5.1665 0.0000 0.0000 0.0000 6.5792 0.0000 0.0000 -3.2896 8.0244" Properties=species:S:1:pos:R:3 pbc="T T T"
La 0.0000 3.2896 2.8422
La 0.0000 0.0000 5.1822
U 2.5833 0.0000 1.9103
U 2.5833 3.2896 6.1141
S 2.5833 1.7796 0.0000
S 0.0000 3.2896 5.6569
S 2.5833 4.7996 0.0000
S 2.5833 1.6448 4.0122
S 0.0000 0.0000 2.3675
S 2.5833 -1.6448 4.0122
```

=====

Most stable structure: A

=====

A | A relaxed structure of LaVS2, computed with PBE.

## Properties
Mass density: 3.4 g/cm³
Space-group type: R-3m, No. 166
Spin magnetization: 0.973 μB per atom

```
4
Lattice="2.4894 0.0000 7.6070 -1.2447 2.1559 7.6070 -1.2447 -2.1559 7.6070" Properties=species:S:1:pos:R:3 pbc="T T T"
S 0.0000 0.0000 20.4680
S 0.0000 0.0000 2.3530
La 0.0000 0.0000 11.4105
V 0.0000 0.0000 0.0000
```

=====

B | A relaxed structure of LaVS2, computed with PBE.

## Properties
Mass density: 5.7 g/cm³
Space-group type: Fm-3m, No. 225
Spin magnetization: 0.001 μB per atom

```
4
Lattice="0.9753 -3.9107 -2.4296 -2.2027 -4.0269 1.0395 -3.1835 -1.7768 -2.9759" Properties=species:S:1:pos:R:3 pbc="T T T"
S -1.1027 -2.4286 -1.0915
S -3.3082 -7.2858 -3.2745
La -2.2054 -4.8572 -2.1830
V 0.0000 0.0000 0.0000
```

=====

C | A relaxed structure of LaVS2, computed with PBE.

## Properties
Mass density: 4.1 g/cm³
Space-group type: I-42d, No. 122
Spin magnetization: 0.653 μB per atom

```
8
Lattice="5.7790 0.0000 0.0000 0.0000 5.7790 0.0000 2.8895 2.8895 6.1390" Properties=species:S:1:pos:R:3 pbc="T T T"
S 3.9357 1.4447 1.5348
S 1.8433 4.3342 1.5348
S 4.3342 4.7328 4.6043
S 7.2237 6.8252 4.6043
La 0.0000 0.0000 0.0000
La 5.7790 2.8895 3.0695
V 2.8895 2.8895 0.0000
V 2.8895 5.7790 3.0695
```

=====

Most stable structure: C

=====

A | A relaxed structure of LaYS2, computed with PBE.

## Properties
Mass density: 5.7 g/cm³
Space-group type: Fm-3m, No. 225
Spin magnetization: 0.180 μB per atom

```
4
Lattice="4.6263 -1.6029 -0.7230 0.8377 -4.7760 -0.9911 1.4661 -1.3682 -4.5247" Properties=species:S:1:pos:R:3 pbc="T T T"
Y 0.0000 0.0000 0.0000
S 1.7325 -1.9368 -1.5597
S 5.1976 -5.8103 -4.6791
La 3.4650 -3.8735 -3.1194
```

=====

B | A relaxed structure of LaYS2, computed with PBE.

## Properties
Mass density: 3.8 g/cm³
Space-group type: I-42d, No. 122
Spin magnetization: 0.000 μB per atom

```
8
Lattice="-0.0549 3.2251 5.4563 -4.2552 -4.0627 2.3585 2.5033 -4.0312 6.0895" Properties=species:S:1:pos:R:3 pbc="T T T"
Y -2.1551 -0.4188 3.9074
Y -1.9535 -4.2563 6.1777
S 0.0607 0.4325 5.1131
S -2.0417 -3.0763 3.7927
S 0.1721 -3.4225 7.5470
S -1.8049 -3.6713 11.3557
La 0.0000 0.0000 0.0000
La 0.1466 -0.6125 7.7266
```

=====

C | A relaxed structure of LaYS2, computed with PBE.

## Properties
Mass density: 5.2 g/cm³
Space-group type: C2/m, No. 12
Spin magnetization: 0.000 μB per atom

```
4
Lattice="4.0102 0.0068 0.0169 1.9895 3.4819 0.0169 1.9825 1.1528 6.6739" Properties=species:S:1:pos:R:3 pbc="T T T"
La 3.9911 2.3208 3.3539
Y 0.0000 0.0000 0.0000
S 5.9869 3.4813 5.1605
S 1.9953 1.1603 1.5472
```

=====

Most stable structure: C

=====

A | A relaxed structure of La4Y3S8, computed with PBE.

## Properties
Mass density: 4.8 g/cm³
Space-group type: C2/m, No. 12
Spin magnetization: 0.000 μB per atom

```
15
Lattice="-4.0445 6.9094 -1.4559 1.1650 -5.3714 -5.9497 -3.3426 -5.7938 4.5680" Properties=species:S:1:pos:R:3 pbc="T T T"
La -2.0223 3.4547 -0.7279
La 0.5825 -2.6857 -2.9748
La 0.0000 0.0000 0.0000
La -1.6713 -2.8969 2.2840
Y -1.4398 0.7690 -3.7028
Y -3.6935 0.5578 1.5561
Y -3.1110 -2.1279 -1.4188
S -2.6191 0.6058 -1.0981
S 0.0237 -5.4783 -3.2866
S -0.6193 -2.7984 -0.3778
S -2.0117 -2.0249 -3.9839
S -4.2104 -2.2309 1.1464
S -5.6028 -1.4574 -2.4597
S -2.2013 -5.6869 1.9050
S -3.6030 -4.8616 -1.7394
```

=====

B | A relaxed structure of La4Y3S8, computed with PBE.

## Properties
Mass density: 4.4 g/cm³
Space-group type: R-3m, No. 166
Spin magnetization: 0.000 μB per atom

```
15
Lattice="-3.7487 5.1968 4.6039 -7.6708 1.4599 -1.1327 -5.5567 -3.2730 5.9311" Properties=species:S:1:pos:R:3 pbc="T T T"
La 0.0000 0.0000 0.0000
La -9.2747 -0.7763 6.8467
La -8.4881 1.6919 4.7011
La -7.7015 4.1601 2.5555
Y -4.6527 0.9619 5.2675
Y -2.7784 -1.6365 2.9656
Y -6.6138 -0.9065 2.3992
S -4.3565 0.4931 2.6573
S -8.1073 1.4502 1.8110
S -10.0329 4.1197 4.1759
S -6.0927 3.3697 4.7577
S -12.6197 2.8907 6.7450
S -8.8689 1.9336 7.5913
S -6.9433 -0.7359 5.2264
S -10.8836 0.0141 4.6446
```

=====

Most stable structure: A